Entry 1:
This record from the Alexandria database describes a relaxed structure of Al3GeSb. The functional is PBE.

```
data_Al3GeSb
_space_group_name_H-M_alt 'P m -3 m'
_space_group_IT_number 221
_space_group_name_Hall '-P 4 2 3'
_cell_length_a 4.910
_cell_length_b 4.910
_cell_length_c 4.910
_cell_angle_alpha 90.00
_cell_angle_beta 90.00
_cell_angle_gamma 90.00
loop_
_atom_site_label
_atom_site_fract_x
_atom_site_fract_y
_atom_site_fract_z
Al1 0.000 0.000 0.500
Ge1 0.000 0.000 0.000
Sb1 0.500 0.500 0.500
```

Output
- excess energy over the best structure of this formula in the dataset (eV per atom) = 0.000
- spin magnetization (μB/atom) = 0.000
- uncorrected formation energy (meV per atom) = 439

***

Entry 2:
This record from the Alexandria database describes a relaxed structure of Al2Ge2Sb. The functional is PBE.

```
data_Al2Ge2Sb
_space_group_name_H-M_alt 'I 4/m m m'
_space_group_IT_number 139
_space_group_name_Hall '-I 4 2'
_cell_length_a 3.994
_cell_length_b 3.994
_cell_length_c 12.853
_cell_angle_alpha 90.00
_cell_angle_beta 90.00
_cell_angle_gamma 90.00
loop_
_atom_site_label
_atom_site_fract_x
_atom_site_fract_y
_atom_site_fract_z
Al1 0.000 0.000 0.103
Ge1 0.000 0.500 0.250
Sb1 0.000 0.000 0.500
```

Output
- excess energy over the best structure of this formula in the dataset (eV per atom) = 0.037
- spin magnetization (μB/atom) = 0.000
- uncorrected formation energy (meV per atom) = 199

***

Entry 3:
This record from the Alexandria database describes a relaxed structure of AlGeSb3. The functional is PBE.

```
data_AlGeSb3
_space_group_name_H-M_alt 'P m -3 m'
_space_group_IT_number 221
_space_group_name_Hall '-P 4 2 3'
_cell_length_a 5.256
_cell_length_b 5.256
_cell_length_c 5.256
_cell_angle_alpha 90.00
_cell_angle_beta 90.00
_cell_angle_gamma 90.00
loop_
_atom_site_label
_atom_site_fract_x
_atom_site_fract_y
_atom_site_fract_z
Al1 0.000 0.000 0.000
Ge1 0.500 0.500 0.500
Sb1 0.000 0.000 0.500
```

Output
- excess energy over the best structure of this formula in the dataset (eV per atom) = 0.000
- spin magnetization (μB/atom) = 0.000
- uncorrected formation energy (meV per atom) = 639